# 1
Here is a relaxed CeY2TcN4 crystal from Alexandria via LeMat-Bulk. Energies are from PBE.

Values from the calculation:
Energy (eV for the cell shown): -142.6
Size of the total moment (μB/cell): 0.1

a = 3.430 Å, b = 6.068 Å, c = 11.617 Å
α = 90.00°, β = 90.00°, γ = 106.42°
Sites, in units of the cell vectors:
N  0.733  0.466  0.630
N  0.733  0.466  0.870
N  0.000  0.000  0.000
N  0.267  0.534  0.130
N  0.550  0.100  0.250
N  0.000  0.000  0.500
N  0.267  0.534  0.370
N  0.450  0.900  0.750
Ce  0.885  0.771  0.250
Ce  0.115  0.229  0.750
Tc  0.143  0.287  0.250
Tc  0.857  0.713  0.750
Y  0.631  0.262  0.043
Y  0.369  0.738  0.543
Y  0.369  0.738  0.957
Y  0.631  0.262  0.457


# 2
Here is a relaxed CeZn2TcN4 crystal from Alexandria via LeMat-Bulk. Energies are from PBE.

Values from the calculation:
Energy (eV for the cell shown): -54.2
Size of the total moment (μB/cell): 0.7

a = 5.452 Å, b = 5.194 Å, c = 5.194 Å
α = 84.17°, β = 58.35°, γ = 58.35°
Each line ends with the local moment (μB).
Sites, in units of the cell vectors:
Zn  0.000  0.250  0.750  0.02
Zn  0.000  0.750  0.250  0.02
Ce  0.500  0.000  0.000  0.22
N  0.500  0.146  0.428  0.01
N  0.074  0.854  0.572  0.01
N  0.926  0.428  0.146  0.01
N  0.500  0.572  0.854  0.01
Tc  0.500  0.500  0.500  0.35


# 3
Here is a relaxed CeZr2TcN4 crystal from Alexandria via LeMat-Bulk. Energies are from PBE.

Values from the calculation:
Energy (eV for the cell shown): -152.4
Size of the total moment (μB/cell): 0.0

a = 3.233 Å, b = 5.972 Å, c = 11.291 Å
α = 90.00°, β = 90.00°, γ = 105.71°
Sites, in units of the cell vectors:
Ce  0.886  0.773  0.250
Ce  0.114  0.227  0.750
N  0.271  0.543  0.383
N  0.461  0.923  0.750
N  0.000  0.000  0.000
N  0.729  0.457  0.883
N  0.539  0.077  0.250
N  0.729  0.457  0.617
N  0.271  0.543  0.117
N  0.000  0.000  0.500
Zr  0.370  0.739  0.547
Zr  0.630  0.261  0.047
Zr  0.370  0.739  0.953
Zr  0.630  0.261  0.453
Tc  0.851  0.703  0.750
Tc  0.149  0.297  0.250


# 4
Here is a relaxed Ce6Te5N crystal from Alexandria via LeMat-Bulk. Energies are from PBE.

Values from the calculation:
Energy (eV for the cell shown): -75.0
Size of the total moment (μB/cell): 7.0

a = 7.462 Å, b = 7.606 Å, c = 7.555 Å
α = 59.78°, β = 80.35°, γ = 70.54°
Each line ends with the local moment (μB).
Sites, in units of the cell vectors:
Te  0.000  0.663  0.674  -0.02
Te  0.500  0.813  0.373  -0.03
Te  0.500  0.187  0.627  -0.03
Te  0.500  0.500  0.000  -0.02
Te  0.000  0.337  0.326  -0.02
Ce  0.210  0.652  0.280  0.94
Ce  0.790  0.348  0.720  0.94
Ce  0.764  0.792  0.000  0.98
Ce  0.790  0.068  0.280  0.94
Ce  0.210  0.932  0.720  0.94
Ce  0.236  0.208  0.000  0.98
N  0.000  0.000  0.000  -0.09


# 5
Here is a relaxed Ce2TeN crystal from Alexandria via LeMat-Bulk. Energies are from PBE.

Values from the calculation:
Energy (eV for the cell shown): -113.4
Size of the total moment (μB/cell): 8.1

a = 7.274 Å, b = 6.666 Å, c = 8.214 Å
α = 90.00°, β = 85.87°, γ = 90.00°
Each line ends with the local moment (μB).
Sites, in units of the cell vectors:
N  0.314  0.822  0.353  -0.05
N  0.686  0.178  0.647  -0.05
N  0.814  0.678  0.353  -0.05
N  0.186  0.322  0.647  -0.05
Ce  0.038  0.832  0.189  0.89
Ce  0.538  0.668  0.189  0.89
Ce  0.650  0.850  0.564  0.78
Ce  0.962  0.168  0.811  0.89
Ce  0.350  0.150  0.436  0.78
Ce  0.850  0.350  0.436  0.78
Ce  0.462  0.332  0.811  0.89
Ce  0.150  0.650  0.564  0.78
Te  0.826  0.640  0.857  -0.03
Te  0.674  0.140  0.143  -0.03
Te  0.326  0.860  0.857  -0.03
Te  0.174  0.360  0.143  -0.03


# 6
Here is a relaxed Ce6Te3N crystal from Alexandria via LeMat-Bulk. Energies are from PBE.

Values from the calculation:
Energy (eV for the cell shown): -125.8
Size of the total moment (μB/cell): 11.9

a = 6.466 Å, b = 8.190 Å, c = 10.487 Å
α = 90.00°, β = 89.88°, γ = 90.00°
Each line ends with the local moment (μB).
Sites, in units of the cell vectors:
Ce  0.606  0.221  0.550  0.79
Ce  0.667  0.154  0.956  0.80
Ce  0.894  0.721  0.950  0.79
Ce  0.394  0.779  0.450  0.79
Ce  0.833  0.654  0.544  0.80
Ce  0.106  0.279  0.050  0.79
Ce  0.627  0.474  0.280  0.81
Ce  0.167  0.346  0.456  0.80
Ce  0.373  0.526  0.720  0.81
Ce  0.127  0.026  0.780  0.81
Ce  0.873  0.974  0.220  0.81
Ce  0.333  0.846  0.044  0.80
Te  0.580  0.884  0.745  -0.02
Te  0.500  0.500  0.000  -0.02
Te  0.920  0.384  0.755  -0.02
Te  0.000  0.000  0.500  -0.02
Te  0.080  0.616  0.245  -0.02
Te  0.420  0.116  0.255  -0.02
N  0.500  0.500  0.500  -0.05
N  0.000  0.000  0.000  -0.05


# 7
Here is a relaxed CeTeN crystal from Alexandria via LeMat-Bulk. Energies are from PBE.

Values from the calculation:
Energy (eV for the cell shown): -42.4
Size of the total moment (μB/cell): 0.0

a = 4.092 Å, b = 4.092 Å, c = 8.945 Å
α = 76.84°, β = 76.82°, γ = 90.00°
Sites, in units of the cell vectors:
N  0.814  0.633  0.080
N  0.314  0.134  0.080
Te  0.481  0.801  0.744
Te  0.646  0.966  0.417
Ce  0.878  0.198  0.951
Ce  0.249  0.569  0.210


# 8
Here is a relaxed Ce2TeN crystal from Alexandria via LeMat-Bulk. Energies are from PBE.

Values from the calculation:
Energy (eV for the cell shown): -57.6
Size of the total moment (μB/cell): 4.2

a = 4.621 Å, b = 4.621 Å, c = 9.141 Å
α = 90.01°, β = 90.01°, γ = 90.06°
Each line ends with the local moment (μB).
Sites, in units of the cell vectors:
Ce  0.250  0.750  0.500  0.83
Ce  0.250  0.250  0.164  0.91
Ce  0.750  0.750  0.836  0.91
Ce  0.750  0.250  0.500  0.83
Te  0.750  0.750  0.199  -0.03
Te  0.250  0.250  0.801  -0.03
N  0.750  0.750  0.592  -0.04
N  0.250  0.250  0.408  -0.04


# 9
Here is a relaxed Ce5Te5N crystal from Alexandria via LeMat-Bulk. Energies are from PBE.

Values from the calculation:
Energy (eV for the cell shown): -67.2
Size of the total moment (μB/cell): 5.8

a = 6.176 Å, b = 7.479 Å, c = 8.579 Å
α = 107.83°, β = 90.00°, γ = 114.39°
Each line ends with the local moment (μB).
Sites, in units of the cell vectors:
N  0.000  0.000  0.000  -0.09
Te  0.000  0.000  0.500  -0.04
Te  0.654  0.308  0.805  -0.03
Te  0.317  0.634  0.661  -0.03
Te  0.346  0.692  0.195  -0.03
Te  0.683  0.366  0.339  -0.03
Ce  0.138  0.276  0.276  0.92
Ce  0.147  0.294  0.862  0.95
Ce  0.500  0.000  0.000  1.03
Ce  0.853  0.706  0.138  0.95
Ce  0.862  0.724  0.724  0.92


# 10
Here is a relaxed Ce4Te3N crystal from Alexandria via LeMat-Bulk. Energies are from PBE.

Values from the calculation:
Energy (eV for the cell shown): -100.8
Size of the total moment (μB/cell): 13.3

a = 6.314 Å, b = 8.801 Å, c = 9.865 Å
α = 90.00°, β = 90.00°, γ = 90.00°
Each line ends with the local moment (μB).
Sites, in units of the cell vectors:
Ce  0.576  0.082  0.500  -1.20
Ce  0.080  0.291  0.195  -1.17
Ce  0.080  0.291  0.805  -1.17
Ce  0.590  0.168  0.000  -1.13
Ce  0.580  0.709  0.695  -1.17
Ce  0.090  0.832  0.500  -1.13
Ce  0.580  0.709  0.305  -1.17
Ce  0.076  0.918  0.000  -1.20
Te  0.082  0.654  0.772  0.02
Te  0.578  0.820  0.000  0.02
Te  0.078  0.180  0.500  0.02
Te  0.582  0.346  0.272  0.02
Te  0.082  0.654  0.228  0.02
Te  0.582  0.346  0.728  0.02
N  0.447  0.826  0.500  0.05
N  0.947  0.174  0.000  0.05


# 11
Here is a relaxed Ce2TeN crystal from Alexandria via LeMat-Bulk. Energies are from PBE.

Values from the calculation:
Energy (eV for the cell shown): -26.3
Size of the total moment (μB/cell): 2.6

a = 3.399 Å, b = 3.399 Å, c = 7.267 Å
α = 90.00°, β = 90.00°, γ = 90.00°
Each line ends with the local moment (μB).
Sites, in units of the cell vectors:
Te  0.500  0.500  0.500  -0.04
N  0.500  0.500  0.000  -0.07
Ce  0.000  0.000  0.801  1.06
Ce  0.000  0.000  0.199  1.06


# 12
Here is a relaxed Ce3TeN crystal from Alexandria via LeMat-Bulk. Energies are from PBE.

Values from the calculation:
Energy (eV for the cell shown): -34.6
Size of the total moment (μB/cell): 0.0

a = 4.843 Å, b = 4.843 Å, c = 4.843 Å
α = 90.00°, β = 90.00°, γ = 90.00°
Sites, in units of the cell vectors:
Te  0.500  0.500  0.500
Ce  0.000  0.000  0.500
Ce  0.500  0.000  0.000
Ce  0.000  0.500  0.000
N  0.000  0.000  0.000